{"formula": "Tc3PtCl", "functional": "GGA-PBE", "state": "optimized geometry", "raw_formation_energy_kj_per_mol_atoms": 97.4, "energy_ev_per_atom": -6.79, "e_above_lowest_polymorph_mev_per_atom": 0.0, "lattice": [[4.308, 0.000, 0.000], [0.000, 4.308, 0.000], [0.000, 0.000, 4.308]], "species": ["Tc", "Tc", "Tc", "Pt", "Cl"], "fractional_positions": [[0.000, 0.000, 0.500], [0.000, 0.500, 0.000], [0.500, 0.000, 0.000], [0.500, 0.500, 0.500], [0.000, 0.000, 0.000]]}